(1)
# Pm2Hg3Au2

A geometry-optimized Pm2Hg3Au2 structure (GGA-PBE, the Alexandria database).

The structure in extended XYZ format:
```
7
Lattice="2.2995 -10.3252 0.0000 2.2995 10.3252 0.0000 0.0000 0.0000 3.7140" Properties=species:S:1:pos:R:3 pbc="T T T"
Pm 2.2995 6.9382 0.0000
Pm 2.2995 -6.9382 0.0000
Hg 0.0000 0.0000 0.0000
Hg 2.2995 1.4785 1.8570
Hg 2.2995 -1.4785 1.8570
Au 2.2995 4.3521 1.8570
Au 2.2995 -4.3521 1.8570
```

Output
For the density of states at the Fermi level, the calculation gives 0.574 states/eV/atom. The energy relative to the elements comes out at -512 meV per atom. The final energy comes out at -2.94 eV per atom. Its crystal system is orthorhombic. The value obtained for the polymorph energy (0 for the lowest one) is 0.0 meV/atom. Its total magnetization is 0.0 μB/f.u.

---

(2)
# NiMoP

A geometry-optimized NiMoP structure (GGA-PBE, the Alexandria database).

The structure in extended XYZ format:
```
3
Lattice="-1.4803 1.4803 4.4031 1.4803 -1.4803 4.4031 1.4803 1.4803 -4.4031" Properties=species:S:1:pos:R:3 pbc="T T T"
Ni 0.0000 0.0000 0.0000
Mo 0.0000 0.0000 6.1410
P 0.0000 0.0000 3.1310
```

Output
For the density of states at the Fermi level, the calculation gives 1.003 states/eV/atom. The energy relative to the elements comes out at -141 meV per atom. The final energy comes out at -7.48 eV per atom. Its crystal system is tetragonal. Its total magnetization is 0.0 μB/f.u.